ZrPaF | PBE | relaxed

Properties
calculated volume: 21.00 A^3/atom
E_tot: -7.769 eV/atom
formation energy (no corrections): -1130 meV/atom

a b c (Å): 5.158 5.158 9.442
angles (deg): 63.30 63.30 34.64
Positions (direct):
1 Pa 0.838 0.838 0.898
2 Pa 0.457 0.457 0.107
3 Zr 0.536 0.536 0.533
4 Zr 0.173 0.173 0.741
5 F 0.762 0.762 0.316
6 F 0.493 0.493 0.327

Np2SbPt9 | PBE | relaxed

Properties
calculated volume: 17.65 A^3/atom
E_tot: -7.486 eV/atom
formation energy (no corrections): -455 meV/atom

a b c (Å): 4.134 4.134 12.391
angles (deg): 90.00 90.00 90.00
Positions (direct):
1 Np 0.000 0.000 0.333
2 Np 0.000 0.000 0.667
3 Sb 0.000 0.000 0.000
4 Pt 0.500 0.500 0.000
5 Pt 0.500 0.500 0.330
6 Pt 0.500 0.500 0.670
7 Pt 0.500 0.000 0.165
8 Pt 0.500 0.000 0.500
9 Pt 0.500 0.000 0.835
10 Pt 0.000 0.500 0.165
11 Pt 0.000 0.500 0.500
12 Pt 0.000 0.500 0.835

TaZnBi3 | PBE | relaxed

Properties
ΔE_f: 6.1 eV per formula unit
calculated volume: 29.48 A^3/atom
distance to the lowest polymorph of the same formula: 621 meV/atom
E_tot: -3.737 eV/atom

a b c (Å): 5.283 5.283 5.283
angles (deg): 90.00 90.00 90.00
Positions (direct):
1 Zn 0.000 0.000 0.000
2 Bi 0.000 0.500 0.000
3 Bi 0.000 0.000 0.500
4 Bi 0.500 0.000 0.000
5 Ta 0.500 0.500 0.500

Q: Which value of E_tot does entry 1 give?
A: -7.769 eV/atom